Entry 1:
A geometry-optimized Cd2ReAg structure. Source: Alexandria, functional PBE.

Results
The value obtained for the volume is 145 Å³ per cell. For the energy above the most stable polymorph in this dataset, the calculation gives 271 meV/atom.

Cell and atoms, written as CIF:
```
data_Cd2ReAg
_chemical_formula_sum 'Cd4 Re2 Ag2'
_cell_length_a 2.9098
_cell_length_b 5.0772
_cell_length_c 9.8392
_cell_angle_alpha 90.00
_cell_angle_beta 90.00
_cell_angle_gamma 90.00
_symmetry_space_group_name_H-M 'I m m m'
_symmetry_Int_Tables_number 71
_symmetry_space_group_name_Hall '-I 2 2'
loop_
_atom_site_label
_atom_site_fract_x
_atom_site_fract_y
_atom_site_fract_z
_atom_site_occupancy
Cd1 0.0000 0.0000 0.2481 1
Re1 0.0000 0.5000 0.0000 1
Ag1 0.0000 0.5000 0.5000 1
```

---

Entry 2:
A geometry-optimized Cd2ReAg structure. Source: Alexandria, functional PBE.

Results
The value obtained for the volume is 145 Å³ per cell. For the energy above the most stable polymorph in this dataset, the calculation gives 195 meV/atom.

Cell and atoms, written as CIF:
```
data_Cd2ReAg
_chemical_formula_sum 'Cd4 Re2 Ag2'
_cell_length_a 9.6946
_cell_length_b 2.7817
_cell_length_c 5.4354
_cell_angle_alpha 90.00
_cell_angle_beta 98.11
_cell_angle_gamma 90.00
_symmetry_space_group_name_H-M 'C 1 2/m 1'
_symmetry_Int_Tables_number 12
loop_
_symmetry_equiv_pos_as_xyz
'x,y,z'
'-x,-y,-z'
'-x,y,-z'
'x,-y,z'
'x+1/2,y+1/2,z'
'-x+1/2,-y+1/2,-z'
'-x+1/2,y+1/2,-z'
'x+1/2,-y+1/2,z'
loop_
_atom_site_label
_atom_site_fract_x
_atom_site_fract_y
_atom_site_fract_z
_atom_site_occupancy
Cd1 0.2491 0.0000 0.2423 1
Re1 0.0000 0.5000 0.0000 1
Ag1 0.0000 0.0000 0.5000 1
```

---

Entry 3:
A geometry-optimized Cd2ReAg structure. Source: Alexandria, functional PBE.

Results
The value obtained for the volume is 73 Å³ per cell. For the energy above the most stable polymorph in this dataset, the calculation gives 124 meV/atom.

Cell and atoms, written as CIF:
```
data_Cd2ReAg
_chemical_formula_sum 'Cd2 Re1 Ag1'
_cell_length_a 2.8188
_cell_length_b 2.8188
_cell_length_c 9.1870
_cell_angle_alpha 90.00
_cell_angle_beta 90.00
_cell_angle_gamma 90.00
_symmetry_space_group_name_H-M 'P 4 m m'
_symmetry_Int_Tables_number 99
loop_
_symmetry_equiv_pos_as_xyz
'x,y,z'
'-y,x,z'
'-x,-y,z'
'y,-x,z'
'-x,y,z'
'y,x,z'
'x,-y,z'
'-y,-x,z'
loop_
_atom_site_label
_atom_site_fract_x
_atom_site_fract_y
_atom_site_fract_z
_atom_site_occupancy
Cd1 0.0000 0.0000 0.0000 1
Cd2 0.5000 0.5000 0.2758 1
Re1 0.0000 0.0000 0.5165 1
Ag1 0.5000 0.5000 0.7491 1
```

---

Entry 4:
A geometry-optimized Cd2ReAg structure. Source: Alexandria, functional PBE.

Results
The value obtained for the volume is 218 Å³ per cell. For the energy above the most stable polymorph in this dataset, the calculation gives 45 meV/atom.

Cell and atoms, written as CIF:
```
data_Cd2ReAg
_chemical_formula_sum 'Cd6 Re3 Ag3'
_cell_length_a 2.8917
_cell_length_b 2.8917
_cell_length_c 30.1519
_cell_angle_alpha 90.00
_cell_angle_beta 90.00
_cell_angle_gamma 120.00
_symmetry_space_group_name_H-M 'R 3 m'
_symmetry_Int_Tables_number 160
_symmetry_space_group_name_Hall 'R 3 -2"'
loop_
_atom_site_label
_atom_site_fract_x
_atom_site_fract_y
_atom_site_fract_z
_atom_site_occupancy
Cd1 0.0000 0.0000 0.0000 1
Cd2 0.0000 0.0000 0.2410 1
Re1 0.0000 0.0000 0.7464 1
Ag1 0.0000 0.0000 0.4905 1
```

---

Calculated values (eV per atom) of electronic total energy for the records, taken in order: -3.662; -3.738; -3.809; -3.887.